No. 1
# SrRhS2 GGA-PBE relaxed
data_SrRhS2
_cell_length_a 6.749
_cell_length_b 6.749
_cell_length_c 6.749
_cell_angle_alpha 90.00
_cell_angle_beta 90.00
_cell_angle_gamma 90.00
_symmetry_space_group_name_H-M 'P 1'
_symmetry_Int_Tables_number 1
loop_
_symmetry_equiv_pos_as_xyz
'x,y,z'
loop_
_atom_site_label
_atom_site_fract_x
_atom_site_fract_y
_atom_site_fract_z
Sr1 0.000 0.000 0.000
Sr2 0.000 0.500 0.500
Sr3 0.500 0.000 0.500
Sr4 0.500 0.500 0.000
Rh1 0.000 0.000 0.500
Rh2 0.000 0.500 0.000
Rh3 0.500 0.000 0.000
Rh4 0.500 0.500 0.500
S1 0.250 0.250 0.250
S2 0.250 0.250 0.750
S3 0.250 0.750 0.250
S4 0.250 0.750 0.750
S5 0.750 0.250 0.250
S6 0.750 0.250 0.750
S7 0.750 0.750 0.250
S8 0.750 0.750 0.750
# DOS(E_F): 1.4242 states/eV/atom
# Symmetry: Fm-3m
# Polymorph energy (0 for the lowest one): 369 meV/atom
# Total energy: -0.3555 Ry/atom
# E_form (uncorrected): -0.514 eV/atom

No. 2
# BeZnSeBr2 GGA-PBE relaxed
data_BeZnSeBr2
_cell_length_a 4.653
_cell_length_b 4.653
_cell_length_c 5.109
_cell_angle_alpha 90.00
_cell_angle_beta 90.00
_cell_angle_gamma 90.00
_symmetry_space_group_name_H-M 'P 1'
_symmetry_Int_Tables_number 1
loop_
_symmetry_equiv_pos_as_xyz
'x,y,z'
loop_
_atom_site_label
_atom_site_fract_x
_atom_site_fract_y
_atom_site_fract_z
Be1 0.000 0.000 0.000
Zn1 0.500 0.500 0.500
Se1 0.000 0.000 0.500
Br1 0.000 0.500 0.000
Br2 0.500 0.000 0.000
# DOS(E_F): 0.3997 states/eV/atom
# Symmetry: P4/mmm
# Polymorph energy (0 for the lowest one): 0 meV/atom
# Total energy: -0.1717 Ry/atom
# E_form (uncorrected): 0.029 eV/atom

No. 3
# Ho2Hg4Pb3 GGA-PBE relaxed
data_Ho2Hg4Pb3
_cell_length_a 5.639
_cell_length_b 5.639
_cell_length_c 10.479
_cell_angle_alpha 104.85
_cell_angle_beta 104.85
_cell_angle_gamma 48.27
_symmetry_space_group_name_H-M 'P 1'
_symmetry_Int_Tables_number 1
loop_
_symmetry_equiv_pos_as_xyz
'x,y,z'
loop_
_atom_site_label
_atom_site_fract_x
_atom_site_fract_y
_atom_site_fract_z
Ho1 0.156 0.156 0.211
Ho2 0.844 0.844 0.789
Hg1 0.172 0.172 0.892
Hg2 0.490 0.490 0.321
Hg3 0.510 0.510 0.679
Hg4 0.828 0.828 0.108
Pb1 0.170 0.170 0.563
Pb2 0.500 0.500 0.000
Pb3 0.830 0.830 0.437
# DOS(E_F): 0.4132 states/eV/atom
# Formation enthalpy at 0 K: -23.0 kJ/mol of atoms
# Symmetry: C2/m
# Total energy: -0.1930 Ry/atom

No. 4
# TiBe2Cr GGA-PBE relaxed
data_TiBe2Cr
_cell_length_a 6.402
_cell_length_b 6.402
_cell_length_c 4.554
_cell_angle_alpha 90.00
_cell_angle_beta 90.00
_cell_angle_gamma 90.00
_symmetry_space_group_name_H-M 'P 1'
_symmetry_Int_Tables_number 1
loop_
_symmetry_equiv_pos_as_xyz
'x,y,z'
loop_
_atom_site_label
_atom_site_fract_x
_atom_site_fract_y
_atom_site_fract_z
Ti1 0.000 0.000 0.000
Ti2 0.000 0.500 0.250
Ti3 0.500 0.000 0.750
Ti4 0.500 0.500 0.500
Be1 0.229 0.750 0.625
Be2 0.250 0.229 0.375
Be3 0.250 0.271 0.875
Be4 0.271 0.750 0.125
Be5 0.729 0.250 0.125
Be6 0.750 0.729 0.875
Be7 0.750 0.771 0.375
Be8 0.771 0.250 0.625
Cr1 0.000 0.000 0.500
Cr2 0.000 0.500 0.750
Cr3 0.500 0.000 0.250
Cr4 0.500 0.500 0.000
# DOS(E_F): 0.2874 states/eV/atom
# Formation enthalpy at 0 K: 35.3 kJ/mol of atoms
# Symmetry: I-42d
# Polymorph energy (0 for the lowest one): 371 meV/atom
# Total energy: -0.4319 Ry/atom

No. 5
# BaMg2ZnPd GGA-PBE relaxed
data_BaMg2ZnPd
_cell_length_a 5.106
_cell_length_b 5.106
_cell_length_c 5.090
_cell_angle_alpha 90.00
_cell_angle_beta 90.00
_cell_angle_gamma 90.00
_symmetry_space_group_name_H-M 'P 1'
_symmetry_Int_Tables_number 1
loop_
_symmetry_equiv_pos_as_xyz
'x,y,z'
loop_
_atom_site_label
_atom_site_fract_x
_atom_site_fract_y
_atom_site_fract_z
Ba1 0.000 0.000 0.000
Mg1 0.000 0.500 0.500
Mg2 0.500 0.000 0.500
Zn1 0.500 0.500 0.000
Pd1 0.500 0.500 0.500
# DOS(E_F): 0.9634 states/eV/atom
# Formation enthalpy at 0 K: -29.9 kJ/mol of atoms
# Symmetry: P4/mmm
# Total energy: -0.1930 Ry/atom

No. 6
# TlIn2Cu GGA-PBE relaxed
data_TlIn2Cu
_cell_length_a 3.272
_cell_length_b 3.272
_cell_length_c 8.928
_cell_angle_alpha 90.00
_cell_angle_beta 90.00
_cell_angle_gamma 90.00
_symmetry_space_group_name_H-M 'P 1'
_symmetry_Int_Tables_number 1
loop_
_symmetry_equiv_pos_as_xyz
'x,y,z'
loop_
_atom_site_label
_atom_site_fract_x
_atom_site_fract_y
_atom_site_fract_z
Tl1 0.000 0.000 0.000
In1 0.500 0.500 0.310
In2 0.500 0.500 0.690
Cu1 0.000 0.000 0.500
# DOS(E_F): 0.3960 states/eV/atom
# Formation enthalpy at 0 K: 7.5 kJ/mol of atoms
# Symmetry: P4/mmm
# Total energy: -0.2137 Ry/atom

No. 7
# KGa3Bi GGA-PBE relaxed
data_KGa3Bi
_cell_length_a 5.730
_cell_length_b 5.730
_cell_length_c 5.730
_cell_angle_alpha 90.00
_cell_angle_beta 90.00
_cell_angle_gamma 90.00
_symmetry_space_group_name_H-M 'P 1'
_symmetry_Int_Tables_number 1
loop_
_symmetry_equiv_pos_as_xyz
'x,y,z'
loop_
_atom_site_label
_atom_site_fract_x
_atom_site_fract_y
_atom_site_fract_z
K1 0.000 0.000 0.000
Ga1 0.000 0.500 0.500
Ga2 0.500 0.000 0.500
Ga3 0.500 0.500 0.000
Bi1 0.500 0.500 0.500
# DOS(E_F): 0.6818 states/eV/atom
# Formation enthalpy at 0 K: 35.4 kJ/mol of atoms
# Symmetry: Pm-3m
# Polymorph energy (0 for the lowest one): 0 meV/atom
# Total energy: -0.1797 Ry/atom

No. 8
# TmZr2Tc GGA-PBE relaxed
data_TmZr2Tc
_cell_length_a 3.245
_cell_length_b 3.245
_cell_length_c 30.653
_cell_angle_alpha 90.00
_cell_angle_beta 90.00
_cell_angle_gamma 120.00
_symmetry_space_group_name_H-M 'P 1'
_symmetry_Int_Tables_number 1
loop_
_symmetry_equiv_pos_as_xyz
'x,y,z'
loop_
_atom_site_label
_atom_site_fract_x
_atom_site_fract_y
_atom_site_fract_z
Tm1 0.000 0.000 0.000
Tm2 0.333 0.667 0.667
Tm3 0.667 0.333 0.333
Zr1 0.000 0.000 0.102
Zr2 0.000 0.000 0.898
Zr3 0.333 0.667 0.564
Zr4 0.333 0.667 0.769
Zr5 0.667 0.333 0.231
Zr6 0.667 0.333 0.436
Tc1 0.000 0.000 0.500
Tc2 0.333 0.667 0.167
Tc3 0.667 0.333 0.833
# DOS(E_F): 1.3034 states/eV/atom
# Formation enthalpy at 0 K: 18.5 kJ/mol of atoms
# Symmetry: R-3m
# Polymorph energy (0 for the lowest one): 307 meV/atom
# Total energy: -0.5727 Ry/atom

No. 9
# ZrNb2FeI GGA-PBE relaxed
data_ZrNb2FeI
_cell_length_a 4.991
_cell_length_b 4.991
_cell_length_c 5.497
_cell_angle_alpha 90.00
_cell_angle_beta 90.00
_cell_angle_gamma 90.00
_symmetry_space_group_name_H-M 'P 1'
_symmetry_Int_Tables_number 1
loop_
_symmetry_equiv_pos_as_xyz
'x,y,z'
loop_
_atom_site_label
_atom_site_fract_x
_atom_site_fract_y
_atom_site_fract_z
Zr1 0.000 0.000 0.000
Nb1 0.000 0.500 0.000
Nb2 0.500 0.000 0.000
Fe1 0.500 0.500 0.500
I1 0.000 0.000 0.500
# DOS(E_F): 2.0255 states/eV/atom
# Symmetry: P4/mmm
# Total energy: -0.4313 Ry/atom
# E_form (uncorrected): 1.872 eV/atom

No. 10
# MgMoRu2 GGA-PBE relaxed
data_MgMoRu2
_cell_length_a 3.142
_cell_length_b 4.655
_cell_length_c 8.380
_cell_angle_alpha 90.00
_cell_angle_beta 90.00
_cell_angle_gamma 90.00
_symmetry_space_group_name_H-M 'P 1'
_symmetry_Int_Tables_number 1
loop_
_symmetry_equiv_pos_as_xyz
'x,y,z'
loop_
_atom_site_label
_atom_site_fract_x
_atom_site_fract_y
_atom_site_fract_z
Mg1 0.000 0.000 0.000
Mg2 0.500 0.500 0.500
Mo1 0.000 0.000 0.500
Mo2 0.500 0.500 0.000
Ru1 0.000 0.500 0.236
Ru2 0.000 0.500 0.764
Ru3 0.500 0.000 0.264
Ru4 0.500 0.000 0.736
# DOS(E_F): 0.8984 states/eV/atom
# Formation enthalpy at 0 K: 15.9 kJ/mol of atoms
# Symmetry: Immm
# Total energy: -0.5571 Ry/atom

No. 11
# Na2BiCl5 GGA-PBE relaxed
data_Na2BiCl5
_cell_length_a 12.185
_cell_length_b 8.417
_cell_length_c 7.925
_cell_angle_alpha 90.00
_cell_angle_beta 90.00
_cell_angle_gamma 90.00
_symmetry_space_group_name_H-M 'P 1'
_symmetry_Int_Tables_number 1
loop_
_symmetry_equiv_pos_as_xyz
'x,y,z'
loop_
_atom_site_label
_atom_site_fract_x
_atom_site_fract_y
_atom_site_fract_z
Na1 0.176 0.006 0.017
Na2 0.176 0.494 0.017
Na3 0.324 0.506 0.517
Na4 0.324 0.994 0.517
Na5 0.676 0.006 0.483
Na6 0.676 0.494 0.483
Na7 0.824 0.506 0.983
Na8 0.824 0.994 0.983
Bi1 0.007 0.750 0.584
Bi2 0.493 0.250 0.084
Bi3 0.507 0.750 0.916
Bi4 0.993 0.250 0.416
Cl1 0.013 0.750 0.942
Cl2 0.090 0.047 0.664
Cl3 0.090 0.453 0.664
Cl4 0.184 0.750 0.368
Cl5 0.210 0.250 0.315
Cl6 0.290 0.750 0.815
Cl7 0.316 0.250 0.868
Cl8 0.410 0.547 0.164
Cl9 0.410 0.953 0.164
Cl10 0.487 0.250 0.442
Cl11 0.513 0.750 0.558
Cl12 0.590 0.047 0.836
Cl13 0.590 0.453 0.836
Cl14 0.684 0.750 0.132
Cl15 0.710 0.250 0.185
Cl16 0.790 0.750 0.685
Cl17 0.816 0.250 0.632
Cl18 0.910 0.547 0.336
Cl19 0.910 0.953 0.336
Cl20 0.987 0.250 0.058
# DOS(E_F): 0.0000 states/eV/atom
# Symmetry: Pnma
# Polymorph energy (0 for the lowest one): 0 meV/atom
# Total energy: -0.2455 Ry/atom
# E_form (uncorrected): -1.371 eV/atom

No. 12
# TcHgTeI2 GGA-PBE relaxed
data_TcHgTeI2
_cell_length_a 5.687
_cell_length_b 5.687
_cell_length_c 5.104
_cell_angle_alpha 90.00
_cell_angle_beta 90.00
_cell_angle_gamma 90.00
_symmetry_space_group_name_H-M 'P 1'
_symmetry_Int_Tables_number 1
loop_
_symmetry_equiv_pos_as_xyz
'x,y,z'
loop_
_atom_site_label
_atom_site_fract_x
_atom_site_fract_y
_atom_site_fract_z
Tc1 0.000 0.000 0.000
Hg1 0.500 0.500 0.500
Te1 0.000 0.000 0.500
I1 0.000 0.500 0.000
I2 0.500 0.000 0.000
# DOS(E_F): 0.8787 states/eV/atom
# Symmetry: P4/mmm
# Polymorph energy (0 for the lowest one): 0 meV/atom
# Total energy: -0.2254 Ry/atom
# E_form (uncorrected): 0.315 eV/atom